Material: TlNi2Br
Method: DFT, PBE-GGA
State: relaxed

Lattice parameters (Å, degrees): 5.2844 5.2844 5.2844 145.48 112.50 78.08
Fractional coordinates of all 4 atoms:
Tl 0.0000 0.0000 0.0000
Ni 0.2611 0.7611 0.5000
Ni 0.7389 0.2389 0.5000
Br 0.5000 0.5000 0.0000

Output
The theoretical density is 8.82 Mg/m³. The energy relative to the elements, uncorrected is 0.467 eV/atom.

---

Material: LaZrCl
Method: DFT, PBE-GGA
State: relaxed

Lattice parameters (Å, degrees): 3.9490 3.9831 10.3618 89.73 87.46 89.86
Fractional coordinates of all 6 atoms:
La 0.0000 0.0000 0.0000
La 0.4579 0.4944 0.4588
Zr 0.0755 0.0078 0.6761
Zr 0.5735 0.5081 0.7817
Cl 0.4901 0.4988 0.0710
Cl 0.9649 0.9951 0.3026

Output
The theoretical density is 5.42 Mg/m³. The energy relative to the elements, uncorrected is -0.906 eV/atom.

---

Material: PrLuS
Method: DFT, PBE-GGA
State: relaxed

Lattice parameters (Å, degrees): 3.8059 3.8059 6.4863 90.00 90.00 120.00
Fractional coordinates of all 3 atoms:
Pr 0.0000 0.0000 0.0000
Lu 0.3333 0.6667 0.4738
S 0.6667 0.3333 0.7120

Output
The theoretical density is 7.10 Mg/m³. The energy relative to the elements, uncorrected is -1.209 eV/atom.

---

Material: P2OsS
Method: DFT, PBE-GGA
State: relaxed

Lattice parameters (Å, degrees): 6.2662 6.2662 6.2662 126.30 126.30 79.40
Fractional coordinates of all 8 atoms:
P 0.0935 0.6250 0.9685
P 0.3750 0.3435 0.4685
P 0.6565 0.1250 0.0315
P 0.8750 0.9065 0.5315
Os 0.0000 0.0000 0.0000
Os 0.7500 0.2500 0.5000
S 0.2500 0.7500 0.5000
S 0.5000 0.5000 0.0000

Output
The theoretical density is 6.11 Mg/m³. The energy relative to the elements, uncorrected is 0.249 eV/atom.

---

Q: Which value of energy relative to the elements, uncorrected does entry 3 give?
A: -1.209 eV/atom